[1]
DFT (GGA-PBE) results for a relaxed structure of LiBe2Al.

Cell lengths 2.621, 2.621, 24.851 Å; angles 90.00, 90.00, 120.00 degrees
Positions (direct):
Li (0.000, 0.000, 0.000)
Li (0.333, 0.667, 0.667)
Li (0.667, 0.333, 0.333)
Be (0.000, 0.000, 0.248)
Be (0.000, 0.000, 0.752)
Be (0.333, 0.667, 0.419)
Be (0.333, 0.667, 0.915)
Be (0.667, 0.333, 0.085)
Be (0.667, 0.333, 0.581)
Al (0.000, 0.000, 0.500)
Al (0.333, 0.667, 0.167)
Al (0.667, 0.333, 0.833)

Output
* formation energy: 271 meV/atom
* space-group type: R-3m (166)

---

[2]
DFT (GGA-PBE) results for a relaxed structure of BaSc2Co.

Cell lengths 3.845, 3.533, 8.387 Å; angles 90.00, 103.24, 90.00 degrees
Positions (direct):
Ba (0.000, 0.000, 0.000)
Sc (0.304, 0.000, 0.612)
Sc (0.682, 0.500, 0.368)
Co (0.826, 0.500, 0.655)

Output
* formation energy: 102 meV/atom
* offset from the most stable computed form: 67.7 meV per atom
* space-group type: Pm (6)

---

[3]
DFT (GGA-PBE) results for a relaxed structure of TlBW2.

Cell lengths 6.260, 6.260, 6.260 Å; angles 90.00, 90.00, 90.00 degrees
Positions (direct):
Tl (0.000, 0.000, 0.000)
Tl (0.000, 0.500, 0.500)
Tl (0.500, 0.000, 0.500)
Tl (0.500, 0.500, 0.000)
B (0.000, 0.000, 0.500)
B (0.000, 0.500, 0.000)
B (0.500, 0.000, 0.000)
B (0.500, 0.500, 0.500)
W (0.250, 0.250, 0.250)
W (0.250, 0.250, 0.750)
W (0.250, 0.750, 0.250)
W (0.250, 0.750, 0.750)
W (0.750, 0.250, 0.250)
W (0.750, 0.250, 0.750)
W (0.750, 0.750, 0.250)
W (0.750, 0.750, 0.750)

Output
* formation energy: 1462 meV/atom
* offset from the most stable computed form: 32.7 meV per atom
* space-group type: Fm-3m (225)

---

[4]
DFT (GGA-PBE) results for a relaxed structure of Er2TmCo.

Cell lengths 3.378, 3.378, 8.614 Å; angles 90.00, 90.00, 90.00 degrees
Positions (direct):
Er (0.000, 0.000, 0.186)
Er (0.000, 0.000, 0.814)
Tm (0.500, 0.500, 0.500)
Co (0.500, 0.500, 0.000)

Output
* formation energy: -68 meV/atom
* offset from the most stable computed form: 122.6 meV per atom
* space-group type: P4/mmm (123)

---

[5]
DFT (GGA-PBE) results for a relaxed structure of Nd2Zn2Pd5Pb.

Cell lengths 9.990, 9.990, 3.880 Å; angles 90.00, 90.00, 90.00 degrees
Positions (direct):
Nd (0.179, 0.321, 0.000)
Nd (0.321, 0.821, 0.000)
Nd (0.679, 0.179, 0.000)
Nd (0.821, 0.679, 0.000)
Zn (0.116, 0.616, 0.000)
Zn (0.384, 0.116, 0.000)
Zn (0.616, 0.884, 0.000)
Zn (0.884, 0.384, 0.000)
Pd (0.000, 0.500, 0.500)
Pd (0.068, 0.784, 0.500)
Pd (0.216, 0.068, 0.500)
Pd (0.284, 0.568, 0.500)
Pd (0.432, 0.284, 0.500)
Pd (0.500, 0.000, 0.500)
Pd (0.568, 0.716, 0.500)
Pd (0.716, 0.432, 0.500)
Pd (0.784, 0.932, 0.500)
Pd (0.932, 0.216, 0.500)
Pb (0.000, 0.000, 0.000)
Pb (0.500, 0.500, 0.000)

Output
* formation energy: -621 meV/atom
* space-group type: P4/mbm (127)

---

[6]
DFT (GGA-PBE) results for a relaxed structure of Pm2GaHg2.

Cell lengths 10.395, 4.345, 6.219 Å; angles 90.00, 93.57, 90.00 degrees
Positions (direct):
Pm (0.194, 0.000, 0.214)
Pm (0.306, 0.500, 0.786)
Pm (0.694, 0.500, 0.214)
Pm (0.806, 0.000, 0.786)
Ga (0.000, 0.500, 0.000)
Ga (0.500, 0.000, 0.000)
Hg (0.096, 0.000, 0.690)
Hg (0.404, 0.500, 0.310)
Hg (0.596, 0.500, 0.690)
Hg (0.904, 0.000, 0.310)

Output
* formation energy: -337 meV/atom
* offset from the most stable computed form: 138.7 meV per atom
* space-group type: C2/m (12)

---

[7]
DFT (GGA-PBE) results for a relaxed structure of Tb4Y3Tm4.

Cell lengths 10.464, 6.616, 6.616 Å; angles 50.24, 90.00, 90.00 degrees
Positions (direct):
Tb (0.000, 0.000, 0.000)
Tb (0.209, 0.794, 0.794)
Tb (0.500, 0.929, 0.929)
Tb (0.791, 0.794, 0.794)
Y (0.000, 0.295, 0.295)
Y (0.292, 0.450, 0.450)
Y (0.708, 0.450, 0.450)
Tm (0.000, 0.593, 0.593)
Tm (0.297, 0.143, 0.143)
Tm (0.500, 0.658, 0.658)
Tm (0.703, 0.143, 0.143)

Output
* formation energy: 150 meV/atom
* offset from the most stable computed form: 127.2 meV per atom
* space-group type: Amm2 (38)

---

[8]
DFT (GGA-PBE) results for a relaxed structure of TcTeAs2W.

Cell lengths 4.685, 4.685, 5.067 Å; angles 90.00, 90.00, 90.00 degrees
Positions (direct):
Tc (0.000, 0.000, 0.000)
Te (0.500, 0.500, 0.500)
As (0.000, 0.500, 0.000)
As (0.500, 0.000, 0.000)
W (0.000, 0.000, 0.500)

Output
* E_form (uncorrected): 94 kJ/mol of atoms
* space-group type: P4/mmm (123)

---

[9]
DFT (GGA-PBE) results for a relaxed structure of MgCoHg2.

Cell lengths 4.207, 4.207, 18.952 Å; angles 90.00, 90.00, 90.00 degrees
Positions (direct):
Mg (0.000, 0.000, 0.000)
Mg (0.000, 0.500, 0.250)
Mg (0.500, 0.000, 0.750)
Mg (0.500, 0.500, 0.500)
Co (0.000, 0.000, 0.500)
Co (0.000, 0.500, 0.750)
Co (0.500, 0.000, 0.250)
Co (0.500, 0.500, 0.000)
Hg (0.234, 0.250, 0.625)
Hg (0.250, 0.734, 0.875)
Hg (0.250, 0.766, 0.375)
Hg (0.266, 0.250, 0.125)
Hg (0.734, 0.750, 0.125)
Hg (0.750, 0.234, 0.375)
Hg (0.750, 0.266, 0.875)
Hg (0.766, 0.750, 0.625)

Output
* formation energy: 389 meV/atom
* space-group type: I-42d (122)

---

[10]
DFT (GGA-PBE) results for a relaxed structure of Ca9Fe2N8.

Cell lengths 9.635, 9.635, 7.770 Å; angles 110.78, 110.78, 29.63 degrees
Positions (direct):
Ca (0.000, 0.000, 0.000)
Ca (0.087, 0.087, 0.485)
Ca (0.174, 0.174, 0.952)
Ca (0.305, 0.305, 0.678)
Ca (0.462, 0.462, 0.263)
Ca (0.538, 0.538, 0.737)
Ca (0.695, 0.695, 0.322)
Ca (0.826, 0.826, 0.048)
Ca (0.913, 0.913, 0.515)
Fe (0.309, 0.309, 0.301)
Fe (0.691, 0.691, 0.699)
N (0.037, 0.037, 0.748)
N (0.217, 0.217, 0.316)
N (0.318, 0.318, 0.088)
N (0.392, 0.392, 0.501)
N (0.608, 0.608, 0.499)
N (0.682, 0.682, 0.912)
N (0.783, 0.783, 0.684)
N (0.963, 0.963, 0.252)

Output
* E_form (uncorrected): -71 kJ/mol of atoms
* space-group type: C2/m (12)

---

[11]
DFT (GGA-PBE) results for a relaxed structure of Y2PtBr.

Cell lengths 4.083, 4.083, 22.692 Å; angles 90.00, 90.00, 120.00 degrees
Positions (direct):
Y (0.000, 0.000, 0.233)
Y (0.000, 0.000, 0.767)
Y (0.333, 0.667, 0.433)
Y (0.333, 0.667, 0.900)
Y (0.667, 0.333, 0.100)
Y (0.667, 0.333, 0.567)
Pt (0.000, 0.000, 0.500)
Pt (0.333, 0.667, 0.167)
Pt (0.667, 0.333, 0.833)
Br (0.000, 0.000, 0.000)
Br (0.333, 0.667, 0.667)
Br (0.667, 0.333, 0.333)

Output
* E_form (uncorrected): -120 kJ/mol of atoms
* offset from the most stable computed form: 0.0 meV per atom
* space-group type: R-3m (166)

---

[12]
DFT (GGA-PBE) results for a relaxed structure of Ce3Tm2Ru2.

Cell lengths 11.278, 3.800, 8.525 Å; angles 90.00, 109.31, 90.00 degrees
Positions (direct):
Ce (0.000, 0.000, 0.000)
Ce (0.125, 0.000, 0.436)
Ce (0.375, 0.500, 0.564)
Ce (0.500, 0.500, 0.000)
Ce (0.625, 0.500, 0.436)
Ce (0.875, 0.000, 0.564)
Tm (0.163, 0.500, 0.803)
Tm (0.337, 0.000, 0.197)
Tm (0.663, 0.000, 0.803)
Tm (0.837, 0.500, 0.197)
Ru (0.141, 0.500, 0.196)
Ru (0.359, 0.000, 0.804)
Ru (0.641, 0.000, 0.196)
Ru (0.859, 0.500, 0.804)

Output
* formation energy: -269 meV/atom
* space-group type: C2/m (12)

---

[13]
DFT (GGA-PBE) results for a relaxed structure of AsBr2Cl.

Cell lengths 3.486, 5.100, 14.328 Å; angles 90.00, 90.00, 90.00 degrees
Positions (direct):
As (0.000, 0.000, 0.000)
As (0.500, 0.500, 0.500)
Br (0.000, 0.500, 0.358)
Br (0.000, 0.500, 0.642)
Br (0.500, 0.000, 0.142)
Br (0.500, 0.000, 0.858)
Cl (0.000, 0.000, 0.500)
Cl (0.500, 0.500, 0.000)

Output
* E_form (uncorrected): -8 kJ/mol of atoms
* offset from the most stable computed form: 445.0 meV per atom
* space-group type: Immm (71)

---

[14]
DFT (GGA-PBE) results for a relaxed structure of TlCo2W.

Cell lengths 4.120, 4.120, 6.827 Å; angles 90.00, 90.00, 90.00 degrees
Positions (direct):
Tl (0.000, 0.000, 0.000)
Tl (0.500, 0.500, 0.500)
Co (0.000, 0.500, 0.250)
Co (0.000, 0.500, 0.750)
Co (0.500, 0.000, 0.250)
Co (0.500, 0.000, 0.750)
W (0.000, 0.000, 0.500)
W (0.500, 0.500, 0.000)

Output
* formation energy: 536 meV/atom
* offset from the most stable computed form: 183.6 meV per atom
* space-group type: I4/mmm (139)

---

[15]
DFT (GGA-PBE) results for a relaxed structure of SrYSeS.

Cell lengths 4.046, 4.046, 21.872 Å; angles 90.00, 90.00, 120.00 degrees
Positions (direct):
Sr (0.000, 0.000, 0.000)
Sr (0.333, 0.667, 0.667)
Sr (0.667, 0.333, 0.333)
Y (0.000, 0.000, 0.179)
Y (0.333, 0.667, 0.846)
Y (0.667, 0.333, 0.512)
Se (0.000, 0.000, 0.429)
Se (0.333, 0.667, 0.096)
Se (0.667, 0.333, 0.762)
S (0.000, 0.000, 0.586)
S (0.333, 0.667, 0.253)
S (0.667, 0.333, 0.919)

Output
* E_form (uncorrected): -182 kJ/mol of atoms
* space-group type: R3m (160)

---

[16]
DFT (GGA-PBE) results for a relaxed structure of Gd5Th3H12.

Cell lengths 11.579, 11.579, 11.579 Å; angles 109.47, 109.47, 109.47 degrees
Positions (direct):
Gd (0.000, 0.000, 0.000)
Gd (0.000, 0.000, 0.500)
Gd (0.000, 0.500, 0.000)
Gd (0.000, 0.500, 0.500)
Gd (0.125, 0.750, 0.875)
Gd (0.125, 0.875, 0.250)
Gd (0.250, 0.125, 0.875)
Gd (0.250, 0.625, 0.375)
Gd (0.375, 0.250, 0.625)
Gd (0.375, 0.625, 0.750)
Gd (0.500, 0.000, 0.000)
Gd (0.500, 0.000, 0.500)
Gd (0.500, 0.500, 0.000)
Gd (0.500, 0.500, 0.500)
Gd (0.625, 0.375, 0.250)
Gd (0.625, 0.750, 0.375)
Gd (0.750, 0.375, 0.625)
Gd (0.750, 0.875, 0.125)
Gd (0.875, 0.125, 0.750)
Gd (0.875, 0.250, 0.125)
Th (0.125, 0.250, 0.375)
Th (0.125, 0.375, 0.750)
Th (0.250, 0.375, 0.125)
Th (0.250, 0.875, 0.625)
Th (0.375, 0.125, 0.250)
Th (0.375, 0.750, 0.125)
Th (0.625, 0.250, 0.875)
Th (0.625, 0.875, 0.750)
Th (0.750, 0.125, 0.375)
Th (0.750, 0.625, 0.875)
Th (0.875, 0.625, 0.250)
Th (0.875, 0.750, 0.625)
H (0.069, 0.225, 0.150)
H (0.069, 0.343, 0.919)
H (0.076, 0.725, 0.657)
H (0.076, 0.850, 0.419)
H (0.081, 0.650, 0.424)
H (0.081, 0.931, 0.657)
H (0.150, 0.069, 0.225)
H (0.150, 0.581, 0.924)
H (0.157, 0.225, 0.576)
H (0.157, 0.431, 0.581)
H (0.225, 0.150, 0.069)
H (0.225, 0.576, 0.157)
H (0.275, 0.343, 0.924)
H (0.275, 0.431, 0.350)
H (0.343, 0.919, 0.069)
H (0.343, 0.924, 0.275)
H (0.350, 0.275, 0.431)
H (0.350, 0.576, 0.919)
H (0.419, 0.076, 0.850)
H (0.419, 0.843, 0.569)
H (0.424, 0.081, 0.650)
H (0.424, 0.843, 0.775)
H (0.431, 0.350, 0.275)
H (0.431, 0.581, 0.157)
H (0.569, 0.419, 0.843)
H (0.569, 0.650, 0.725)
H (0.576, 0.157, 0.225)
H (0.576, 0.919, 0.350)
H (0.581, 0.157, 0.431)
H (0.581, 0.924, 0.150)
H (0.650, 0.424, 0.081)
H (0.650, 0.725, 0.569)
H (0.657, 0.076, 0.725)
H (0.657, 0.081, 0.931)
H (0.725, 0.569, 0.650)
H (0.725, 0.657, 0.076)
H (0.775, 0.424, 0.843)
H (0.775, 0.850, 0.931)
H (0.843, 0.569, 0.419)
H (0.843, 0.775, 0.424)
H (0.850, 0.419, 0.076)
H (0.850, 0.931, 0.775)
H (0.919, 0.069, 0.343)
H (0.919, 0.350, 0.576)
H (0.924, 0.150, 0.581)
H (0.924, 0.275, 0.343)
H (0.931, 0.657, 0.081)
H (0.931, 0.775, 0.850)

Output
* raw total energy: -7.094 eV/atom
* space-group type: Ia-3d (230)

---

[17]
DFT (GGA-PBE) results for a relaxed structure of YVPd2.

Cell lengths 6.681, 6.681, 6.681 Å; angles 90.00, 90.00, 90.00 degrees
Positions (direct):
Y (0.000, 0.000, 0.000)
Y (0.000, 0.500, 0.500)
Y (0.500, 0.000, 0.500)
Y (0.500, 0.500, 0.000)
V (0.000, 0.000, 0.500)
V (0.000, 0.500, 0.000)
V (0.500, 0.000, 0.000)
V (0.500, 0.500, 0.500)
Pd (0.250, 0.250, 0.250)
Pd (0.250, 0.250, 0.750)
Pd (0.250, 0.750, 0.250)
Pd (0.250, 0.750, 0.750)
Pd (0.750, 0.250, 0.250)
Pd (0.750, 0.250, 0.750)
Pd (0.750, 0.750, 0.250)
Pd (0.750, 0.750, 0.750)

Output
* formation energy: -352 meV/atom
* offset from the most stable computed form: 0.0 meV per atom
* space-group type: Fm-3m (225)

---

[18]
DFT (GGA-PBE) results for a relaxed structure of Ta3AlBi.

Cell lengths 4.802, 4.802, 4.802 Å; angles 90.00, 90.00, 90.00 degrees
Positions (direct):
Ta (0.000, 0.000, 0.500)
Ta (0.000, 0.500, 0.000)
Ta (0.500, 0.000, 0.000)
Al (0.000, 0.000, 0.000)
Bi (0.500, 0.500, 0.500)

Output
* formation energy: 1281 meV/atom
* offset from the most stable computed form: 0.0 meV per atom
* space-group type: Pm-3m (221)

---

[19]
DFT (GGA-PBE) results for a relaxed structure of LiVSe3.

Cell lengths 8.666, 8.666, 5.774 Å; angles 106.22, 106.22, 89.97 degrees
Positions (direct):
Li (0.044, 0.205, 0.119)
Li (0.205, 0.044, 0.619)
Li (0.795, 0.956, 0.381)
Li (0.956, 0.795, 0.881)
V (0.273, 0.727, 0.250)
V (0.422, 0.578, 0.750)
V (0.578, 0.422, 0.250)
V (0.727, 0.273, 0.750)
Se (0.018, 0.756, 0.357)
Se (0.157, 0.573, 0.799)
Se (0.244, 0.982, 0.143)
Se (0.291, 0.443, 0.293)
Se (0.427, 0.843, 0.701)
Se (0.443, 0.291, 0.793)
Se (0.557, 0.709, 0.207)
Se (0.573, 0.157, 0.299)
Se (0.709, 0.557, 0.707)
Se (0.756, 0.018, 0.857)
Se (0.843, 0.427, 0.201)
Se (0.982, 0.244, 0.643)

Output
* E_form (uncorrected): -66 kJ/mol of atoms
* offset from the most stable computed form: 55.6 meV per atom
* space-group type: C2/c (15)

---

[20]
DFT (GGA-PBE) results for a relaxed structure of Be2SbOsI.

Cell lengths 4.436, 4.436, 5.350 Å; angles 90.00, 90.00, 90.00 degrees
Positions (direct):
Be (0.000, 0.500, 0.000)
Be (0.500, 0.000, 0.000)
Sb (0.000, 0.000, 0.500)
Os (0.500, 0.500, 0.000)
I (0.500, 0.500, 0.500)

Output
* E_form (uncorrected): 104 kJ/mol of atoms
* space-group type: P4/mmm (123)

---

[21]
DFT (GGA-PBE) results for a relaxed structure of AuCl3O.

Cell lengths 6.794, 8.184, 13.515 Å; angles 90.00, 101.36, 90.00 degrees
Positions (direct):
Au (0.015, 0.249, 0.122)
Au (0.015, 0.751, 0.622)
Au (0.985, 0.249, 0.378)
Au (0.985, 0.751, 0.878)
Cl (0.214, 0.249, 0.526)
Cl (0.214, 0.751, 0.026)
Cl (0.242, 0.248, 0.281)
Cl (0.242, 0.752, 0.781)
Cl (0.274, 0.250, 0.037)
Cl (0.274, 0.750, 0.537)
Cl (0.726, 0.250, 0.463)
Cl (0.726, 0.750, 0.963)
Cl (0.758, 0.248, 0.219)
Cl (0.758, 0.752, 0.719)
Cl (0.786, 0.249, 0.974)
Cl (0.786, 0.751, 0.474)
O (0.092, 0.274, 0.761)
O (0.092, 0.726, 0.261)
O (0.908, 0.274, 0.739)
O (0.908, 0.726, 0.239)

Output
* E_form (uncorrected): -18 kJ/mol of atoms
* offset from the most stable computed form: 0.0 meV per atom
* space-group type: P2/c (13)

---

no.,spin magnetization (μB/f.u.)
1,0.0
2,0.0
3,0.0
4,1.2
5,0.0
6,0.0
7,0.0
8,0.0
9,1.5
10,4.8
11,0.0
12,0.3
13,0.0
14,1.4
15,0.4
16,37.5
17,3.1
18,1.6
19,0.4
20,0.0
21,1.0